Material: Ho2Er2SiBr5
Method: DFT, GGA-PBE
State: relaxed

The structure in CIF format:
```
data_Ho2Er2SiBr5
_symmetry_space_group_name_H-M 'P 1'
_symmetry_Int_Tables_number 1
_cell_length_a 9.230
_cell_length_b 9.230
_cell_length_c 8.315
_cell_angle_alpha 102.11
_cell_angle_beta 102.11
_cell_angle_gamma 25.09
loop_
_symmetry_equiv_pos_as_xyz
'x,y,z'
loop_
_atom_site_label
_atom_site_fract_x
_atom_site_fract_y
_atom_site_fract_z
Br1 0.826 0.826 0.159
Br2 0.167 0.167 0.328
Br3 0.500 0.500 0.500
Br4 0.833 0.833 0.672
Br5 0.174 0.174 0.841
Er1 0.650 0.650 0.078
Er2 0.350 0.350 0.922
Ho1 0.000 0.000 0.221
Ho2 0.000 0.000 0.779
Si1 0.500 0.500 0.000
```

Values from the calculation:
- space group = C2/m
- raw total energy (eV/atom) = -4.63

---

Material: AlAgF6
Method: DFT, GGA-PBE
State: relaxed

The structure in CIF format:
```
data_AlAgF6
_symmetry_space_group_name_H-M 'P 1'
_symmetry_Int_Tables_number 1
_cell_length_a 5.032
_cell_length_b 5.032
_cell_length_c 5.032
_cell_angle_alpha 60.00
_cell_angle_beta 60.00
_cell_angle_gamma 60.00
loop_
_symmetry_equiv_pos_as_xyz
'x,y,z'
loop_
_atom_site_label
_atom_site_fract_x
_atom_site_fract_y
_atom_site_fract_z
Ag1 0.000 0.000 0.000
Al1 0.250 0.250 0.250
F1 0.499 0.499 0.001
F2 0.499 0.001 0.001
F3 0.001 0.499 0.001
F4 0.499 0.001 0.499
F5 0.001 0.001 0.499
F6 0.001 0.499 0.499
```

Values from the calculation:
- space group = F-43m
- raw total energy (eV/atom) = -4.06

---

Material: ZnMo2Au
Method: DFT, GGA-PBE
State: relaxed

The structure in CIF format:
```
data_ZnMo2Au
_symmetry_space_group_name_H-M 'P 1'
_symmetry_Int_Tables_number 1
_cell_length_a 4.496
_cell_length_b 4.496
_cell_length_c 4.496
_cell_angle_alpha 60.00
_cell_angle_beta 60.00
_cell_angle_gamma 60.00
loop_
_symmetry_equiv_pos_as_xyz
'x,y,z'
loop_
_atom_site_label
_atom_site_fract_x
_atom_site_fract_y
_atom_site_fract_z
Au1 0.250 0.250 0.250
Mo1 0.000 0.000 0.000
Mo2 0.750 0.750 0.750
Zn1 0.500 0.500 0.500
```

Values from the calculation:
- energy of formation (meV per atom) = 347.5
- space group = F-43m
- raw total energy (eV/atom) = -6.21

---

Repeat the first record exactly.
Material: Ho2Er2SiBr5
Method: DFT, GGA-PBE
State: relaxed

The structure in CIF format:
```
data_Ho2Er2SiBr5
_symmetry_space_group_name_H-M 'P 1'
_symmetry_Int_Tables_number 1
_cell_length_a 9.230
_cell_length_b 9.230
_cell_length_c 8.315
_cell_angle_alpha 102.11
_cell_angle_beta 102.11
_cell_angle_gamma 25.09
loop_
_symmetry_equiv_pos_as_xyz
'x,y,z'
loop_
_atom_site_label
_atom_site_fract_x
_atom_site_fract_y
_atom_site_fract_z
Br1 0.826 0.826 0.159
Br2 0.167 0.167 0.328
Br3 0.500 0.500 0.500
Br4 0.833 0.833 0.672
Br5 0.174 0.174 0.841
Er1 0.650 0.650 0.078
Er2 0.350 0.350 0.922
Ho1 0.000 0.000 0.221
Ho2 0.000 0.000 0.779
Si1 0.500 0.500 0.000
```

Values from the calculation:
- space group = C2/m
- raw total energy (eV/atom) = -4.63